1.
The following is a DFT calculation (PBE-GGA) of Ce2NpIrN5 after structural relaxation.

abc: 6.860 6.860 10.686
angles: 90.00 90.00 151.20
Element x y z (fractional)
Ce 0.100 0.900 0.500
Ce 0.143 0.857 0.112
Ce 0.857 0.143 0.612
Ce 0.900 0.100 0.000
Np 0.206 0.794 0.823
Np 0.794 0.206 0.323
Ir 0.477 0.523 0.262
Ir 0.523 0.477 0.762
N 0.051 0.949 0.878
N 0.275 0.725 0.462
N 0.326 0.674 0.185
N 0.367 0.633 0.803
N 0.483 0.517 0.582
N 0.517 0.483 0.082
N 0.633 0.367 0.303
N 0.674 0.326 0.685
N 0.725 0.275 0.962
N 0.949 0.051 0.378

2.
The following is a DFT calculation (PBE-GGA) of Ce3P2Ir2N3 after structural relaxation.

abc: 11.015 11.015 11.015
angles: 159.84 159.84 28.65
Element x y z (fractional)
Ce 0.000 0.000 0.000
Ce 0.385 0.385 0.000
Ce 0.615 0.615 0.000
P 0.187 0.187 0.000
P 0.813 0.813 0.000
Ir 0.250 0.750 0.500
Ir 0.750 0.250 0.500
N 0.109 0.109 0.000
N 0.500 0.500 0.000
N 0.891 0.891 0.000

3.
The following is a DFT calculation (PBE-GGA) of Ce2PaIrN4 after structural relaxation.

abc: 5.255 5.255 5.255
angles: 109.36 109.36 109.70
Element x y z (fractional)
Ce 0.000 0.500 0.500
Ce 0.500 0.000 0.500
Pa 0.000 0.000 0.000
Ir 0.500 0.500 0.000
N 0.087 0.087 0.621
N 0.466 0.466 0.379
N 0.534 0.913 0.000
N 0.913 0.534 0.000

| no. | total magnetic moment (μB per atom) | ΔE_f (raw) (meV per atom) |
| --- | --- | --- |
| 1 | 0.25 | -922 |
| 2 | 0.19 | -1142 |
| 3 | 0.16 | -532 |